[1]
PBE InSnHgI4, optimized geometry; DFT total energy = -2.210 eV/atom; formation energy without anion corrections = -2.23 eV per formula unit; total moment = 0.00 μB/cell
1.0
6.441 -5.263 0.000
6.441 5.263 0.000
-4.670 0.000 10.925
In Sn Hg I
2 2 2 8
Direct
0.167 0.167 0.301 In
0.833 0.833 0.699 In
0.316 0.316 0.800 Sn
0.684 0.684 0.200 Sn
0.411 0.411 0.095 Hg
0.589 0.589 0.905 Hg
0.015 0.602 0.853 I
0.062 0.062 0.711 I
0.339 0.339 0.559 I
0.398 0.985 0.147 I
0.602 0.015 0.853 I
0.661 0.661 0.441 I
0.938 0.938 0.289 I
0.985 0.398 0.147 I



[2]
PBE InSnHgI3, optimized geometry; DFT total energy = -2.312 eV/atom; formation energy without anion corrections = -2.18 eV per formula unit; total moment = 0.00 μB/cell
1.0
4.731 -6.266 0.000
4.731 6.266 0.000
0.000 0.000 9.210
In Sn Hg I
2 2 2 6
Direct
0.003 0.997 0.750 In
0.997 0.003 0.250 In
0.485 0.515 0.250 Sn
0.515 0.485 0.750 Sn
0.259 0.741 0.750 Hg
0.741 0.259 0.250 Hg
0.250 0.750 0.250 I
0.264 0.264 0.000 I
0.264 0.264 0.500 I
0.736 0.736 0.000 I
0.736 0.736 0.500 I
0.750 0.250 0.750 I



[3]
PBE In2SnHgI, optimized geometry; DFT total energy = -2.231 eV/atom; formation energy without anion corrections = 0.18 eV per formula unit; total moment = 0.00 μB/cell
1.0
5.864 0.000 0.000
0.000 5.864 0.000
0.000 0.000 5.758
In Sn Hg I
2 1 1 1
Direct
0.000 0.500 0.000 In
0.500 0.000 0.000 In
0.000 0.000 0.000 Sn
0.000 0.000 0.500 Hg
0.500 0.500 0.500 I



[4]
PBE In2SnHgI8, optimized geometry; DFT total energy = -2.268 eV/atom; formation energy without anion corrections = -5.04 eV per formula unit; total moment = 0.00 μB/cell
1.0
7.600 -4.383 0.000
7.600 4.383 0.000
-1.728 0.000 9.743
In Sn Hg I
2 1 1 8
Direct
0.180 0.180 0.099 In
0.820 0.820 0.901 In
0.500 0.500 0.000 Sn
0.000 0.000 0.500 Hg
0.146 0.146 0.824 I
0.147 0.637 0.785 I
0.362 0.362 0.217 I
0.363 0.853 0.215 I
0.637 0.147 0.785 I
0.638 0.638 0.783 I
0.853 0.363 0.215 I
0.854 0.854 0.176 I



[5]
PBE InHgTe2I, optimized geometry; DFT total energy = -1.941 eV/atom; formation energy without anion corrections = 1.17 eV per formula unit; total moment = 0.60 μB/cell
1.0
5.767 0.000 0.000
0.000 5.767 0.000
0.000 0.000 5.946
In Hg Te I
1 1 2 1
Direct
0.000 0.000 0.000 In
0.500 0.500 0.500 Hg
0.000 0.500 0.000 Te
0.500 0.000 0.000 Te
0.000 0.000 0.500 I



[6]
PBE In4HgTe2I, optimized geometry; DFT total energy = -2.620 eV/atom; formation energy without anion corrections = -1.87 eV per formula unit; total moment = 0.00 μB/cell
1.0
-4.515 4.652 6.415
4.515 -4.652 6.415
4.515 4.652 -6.415
In Hg Te I
8 2 4 2
Direct
0.257 0.260 0.503 In
0.257 0.754 0.997 In
0.264 0.246 0.018 In
0.272 0.754 0.518 In
0.728 0.246 0.482 In
0.736 0.754 0.982 In
0.743 0.246 0.003 In
0.743 0.740 0.497 In
0.000 0.000 0.000 Hg
0.500 0.000 0.500 Hg
0.000 0.500 0.500 Te
0.500 0.000 0.000 Te
0.500 0.500 0.000 Te
0.500 0.500 0.500 Te
0.000 0.000 0.500 I
0.000 0.500 0.000 I



[7]
PBE In2Hg2TeI, optimized geometry; DFT total energy = -1.978 eV/atom; formation energy without anion corrections = -1.10 eV per formula unit; total moment = 0.00 μB/cell
1.0
6.496 0.000 0.000
0.000 7.533 0.000
-0.065 0.000 8.539
In Hg Te I
4 4 2 2
Direct
0.036 0.001 0.236 In
0.036 0.499 0.236 In
0.964 0.501 0.764 In
0.964 0.999 0.764 In
0.180 0.250 0.511 Hg
0.414 0.750 0.273 Hg
0.586 0.250 0.727 Hg
0.820 0.750 0.489 Hg
0.194 0.250 0.982 Te
0.806 0.750 0.018 Te
0.352 0.750 0.708 I
0.648 0.250 0.292 I



[8]
PBE InHgTe2I, optimized geometry; DFT total energy = -1.953 eV/atom; formation energy without anion corrections = 1.11 eV per formula unit; total moment = 0.00 μB/cell
1.0
5.632 0.000 0.000
0.000 5.632 0.000
0.000 0.000 6.221
In Hg Te I
1 1 2 1
Direct
0.000 0.000 0.000 In
0.500 0.500 0.500 Hg
0.000 0.500 0.500 Te
0.500 0.000 0.500 Te
0.500 0.500 0.000 I